1.
The following is a PBE-GGA calculation of a relaxed structure of Th4TcRu, from the Alexandria database.

The structure in POSCAR format:
```
Th4TcRu
1.0
-2.973 -5.565 1.053
2.917 -2.649 -5.767
5.763 -2.267 3.956
Th Tc Ru
8 2 2
direct
0.585 0.000 0.252 Th
0.415 0.500 0.748 Th
0.102 0.750 0.107 Th
0.415 0.000 0.748 Th
0.898 0.250 0.893 Th
0.898 0.750 0.610 Th
0.102 0.250 0.390 Th
0.585 0.500 0.252 Th
0.288 0.750 0.438 Tc
0.712 0.250 0.562 Tc
0.296 0.250 0.056 Ru
0.704 0.750 0.944 Ru
```

- formation enthalpy at 0 K (eV/atom) = -0.2642
- space-group type = No. 11
- final energy (eV per atom) = -8.484
- total moment (μB/f.u.) = 0.0


2.
The following is a PBE-GGA calculation of a relaxed structure of K4OsPt, from the Alexandria database.

The structure in POSCAR format:
```
K4OsPt
1.0
0.000 4.435 4.435
4.435 0.000 4.435
4.435 4.435 0.000
K Os Pt
4 1 1
direct
0.877 0.374 0.374 K
0.374 0.374 0.877 K
0.374 0.374 0.374 K
0.374 0.877 0.374 K
0.750 0.750 0.750 Os
0.000 0.000 0.000 Pt
```

- formation enthalpy at 0 K (eV/atom) = 1.3551
- space-group type = No. 216
- final energy (eV per atom) = -2.255
- total moment (μB/f.u.) = 2.0


3.
The following is a PBE-GGA calculation of a relaxed structure of LaCuMo3, from the Alexandria database.

The structure in POSCAR format:
```
LaCuMo3
1.0
4.708 0.000 0.000
0.000 4.708 0.000
0.000 0.000 4.708
Cu Mo La
1 3 1
direct
0.000 0.000 0.000 Cu
0.500 0.000 0.000 Mo
0.000 0.000 0.500 Mo
0.000 0.500 0.000 Mo
0.500 0.500 0.500 La
```

- excess energy over the best structure of this formula in the dataset (kJ/mol of atoms) = 0.00
- formation enthalpy at 0 K (eV/atom) = 1.3231
- space-group type = No. 221
- final energy (eV per atom) = -6.980
- total moment (μB/f.u.) = 0.0